(1)
Here is a geometry-optimized CdInAg4 structure from the Alexandria database. Energies are from PBE.

Geometry as POSCAR:
```
CdInAg4
1.0
0.000 3.940 3.940
3.940 0.000 3.940
3.940 3.940 0.000
Cd In Ag
1 1 4
direct
0.000 0.000 0.000
0.750 0.750 0.750
0.375 0.375 0.375
0.375 0.375 0.875
0.375 0.875 0.375
0.875 0.375 0.375
```

Summary:
- space group = No. 216
- uncorrected energy (eV per formula unit) = -14.851
- crystal system = cubic
- relative energy among the computed polymorphs (eV per formula unit) = 0.05
- ΔH_f (0 K) (eV per atom) = 0.035

(2)
Here is a geometry-optimized Hg2RuPb structure from the Alexandria database. Energies are from PBE.

Geometry as POSCAR:
```
Hg2RuPb
1.0
0.000 3.505 3.505
3.505 0.000 3.505
3.505 3.505 0.000
Hg Ru Pb
2 1 1
direct
0.000 0.000 0.000
0.250 0.250 0.250
0.750 0.750 0.750
0.500 0.500 0.500
```

Summary:
- space group = No. 216
- uncorrected energy (eV per formula unit) = -11.109
- crystal system = cubic
- ΔH_f (0 K) (eV per atom) = 0.620